[1]
The following is a DFT calculation (GGA-PBE) of a geometry-optimized Sc2AsW structure.

Properties
Total moment   0.000 μB per formula unit
Density of states at the Fermi level   0.66 states/eV/atom
Density   7980 kg/m3
Calculated formation energy   -81 meV per atom
Calculated volume   145.1 Å³ per cell
Total energy   -7.65 eV/atom

a b c (Å): 9.139 3.756 4.567
angles (deg): 90.00 112.24 90.00
Space group C2/m (No. 12)
Symmetry-distinct sites (fractional):
1 Sc 0.241 0.000 0.239 [4 per cell]
2 As 0.000 0.500 0.000 [2 per cell]
3 W 0.000 0.000 0.500 [2 per cell]

=====

[2]
The following is a DFT calculation (GGA-PBE) of a geometry-optimized ScAs2W structure.

Properties
Total moment   1.101 μB per formula unit
Energy above the lowest structure with this stoichiometry   582 meV per atom
Density of states at the Fermi level   0.97 states/eV/atom
Density   6155 kg/m3
Calculated formation energy   111 meV per atom
Calculated volume   408.6 Å³ per cell
Total energy   -7.04 eV/atom

a b c (Å): 5.829 5.829 12.025
angles (deg): 90.00 90.00 90.00
Space group I-42d (No. 122)
Symmetry-distinct sites (fractional):
1 Sc 0.000 0.000 0.000 [4 per cell]
2 As 0.219 0.250 0.625 [8 per cell]
3 W 0.000 0.000 0.500 [4 per cell]

=====

[3]
The following is a DFT calculation (GGA-PBE) of a geometry-optimized ScAs2W structure.

Properties
Total moment   0.000 μB per formula unit
Energy above the lowest structure with this stoichiometry   342 meV per atom
Density of states at the Fermi level   0.61 states/eV/atom
Density   8912 kg/m3
Calculated formation energy   -130 meV per atom
Calculated volume   70.6 Å³ per cell
Total energy   -7.28 eV/atom

a b c (Å): 3.078 4.040 5.723
angles (deg): 90.00 97.48 90.00
Space group P2/m (No. 10)
Symmetry-distinct sites (fractional):
1 Sc 0.000 0.000 0.000 [1 per cell]
2 As 0.330 0.500 0.748 [2 per cell]
3 W 0.500 0.000 0.500 [1 per cell]

=====

[4]
The following is a DFT calculation (GGA-PBE) of a geometry-optimized ScAs2W structure.

Properties
Total moment   0.066 μB per formula unit
Energy above the lowest structure with this stoichiometry   0 meV per atom
Density of states at the Fermi level   1.05 states/eV/atom
Density   8597 kg/m3
Calculated formation energy   -472 meV per atom
Calculated volume   146.3 Å³ per cell
Total energy   -7.62 eV/atom

a b c (Å): 3.386 3.491 12.373
angles (deg): 90.00 90.00 90.00
Space group Imm2 (No. 44)
Symmetry-distinct sites (fractional):
1 Sc 0.000 0.000 0.000 [2 per cell]
2 As 0.000 0.000 0.594 [2 per cell]
3 As 0.000 0.500 0.831 [2 per cell]
4 W 0.000 0.500 0.247 [2 per cell]

=====

[5]
The following is a DFT calculation (GGA-PBE) of a geometry-optimized Sc2AsW structure.

Properties
Total moment   1.191 μB per formula unit
Density of states at the Fermi level   0.82 states/eV/atom
Density   7516 kg/m3
Calculated formation energy   -137 meV per atom
Calculated volume   77.0 Å³ per cell
Total energy   -7.70 eV/atom

a b c (Å): 3.377 3.377 6.756
angles (deg): 90.00 90.00 90.00
Space group P4mm (No. 99)
Symmetry-distinct sites (fractional):
1 Sc 0.000 0.000 0.000 [1 per cell]
2 Sc 0.500 0.500 0.325 [1 per cell]
3 As 0.500 0.500 0.756 [1 per cell]
4 W 0.000 0.000 0.587 [1 per cell]

=====

[6]
The following is a DFT calculation (GGA-PBE) of a geometry-optimized Sc2AsW structure.

Properties
Total moment   0.000 μB per formula unit
Density of states at the Fermi level   1.21 states/eV/atom
Density   7016 kg/m3
Calculated formation energy   269 meV per atom
Calculated volume   247.6 Å³ per cell
Total energy   -7.30 eV/atom

a b c (Å): 3.0933 3.0933 29.8745
angles (deg): 90.00 90.00 120.00
Space group R-3m (No. 166, hexagonal axes)
Symmetry-distinct sites (fractional):
1 Sc 0.0000 0.0000 0.0909 [6 per cell]
2 As 0.0000 0.0000 0.0000 [3 per cell]
3 W 0.0000 0.0000 0.5000 [3 per cell]

=====

[7]
The following is a DFT calculation (GGA-PBE) of a geometry-optimized ScAsW structure.

Properties
Total moment   0.000 μB per formula unit
Energy above the lowest structure with this stoichiometry   213 meV per atom
Density of states at the Fermi level   0.65 states/eV/atom
Density   9478 kg/m3
Calculated formation energy   -28 meV per atom
Calculated volume   212.8 Å³ per cell
Total energy   -8.01 eV/atom

a b c (Å): 3.451 4.915 12.550
angles (deg): 90.00 90.00 90.00
Space group Fmm2 (No. 42)
Symmetry-distinct sites (fractional):
1 Sc 0.000 0.000 0.000 [4 per cell]
2 As 0.000 0.000 0.331 [4 per cell]
3 W 0.000 0.000 0.679 [4 per cell]

=====

[8]
The following is a DFT calculation (GGA-PBE) of a geometry-optimized ScAs2W structure.

Properties
Total moment   0.000 μB per formula unit
Energy above the lowest structure with this stoichiometry   137 meV per atom
Density of states at the Fermi level   0.54 states/eV/atom
Density   8821 kg/m3
Calculated formation energy   -335 meV per atom
Calculated volume   71.3 Å³ per cell
Total energy   -7.48 eV/atom

a b c (Å): 3.498 3.498 5.824
angles (deg): 90.00 90.00 90.00
Space group P4mm (No. 99)
Symmetry-distinct sites (fractional):
1 Sc 0.000 0.000 0.000 [1 per cell]
2 As 0.000 0.000 0.483 [1 per cell]
3 As 0.500 0.500 0.842 [1 per cell]
4 W 0.500 0.500 0.318 [1 per cell]

=====

[9]
The following is a DFT calculation (GGA-PBE) of a geometry-optimized Sc2AsW structure.

Properties
Total moment   0.001 μB per formula unit
Density of states at the Fermi level   1.08 states/eV/atom
Density   7444 kg/m3
Calculated formation energy   -270 meV per atom
Calculated volume   155.5 Å³ per cell
Total energy   -7.84 eV/atom

a b c (Å): 4.242 3.591 10.213
angles (deg): 90.00 90.00 90.00
Space group Amm2 (No. 38)
Symmetry-distinct sites (fractional):
1 Sc 0.000 0.000 0.000 [2 per cell]
2 Sc 0.500 0.000 0.293 [2 per cell]
3 As 0.000 0.000 0.717 [2 per cell]
4 W 0.500 0.000 0.570 [2 per cell]

=====

[10]
The following is a DFT calculation (GGA-PBE) of a geometry-optimized Y5ScAs6 structure.

Properties
Total moment   0.000 μB per formula unit
Density of states at the Fermi level   0.11 states/eV/atom
Density   5383 kg/m3
Calculated formation energy   -1515 meV per atom
Calculated volume   579.4 Å³ per cell
Total energy   -7.06 eV/atom

a b c (Å): 7.082 12.261 7.079
angles (deg): 90.00 109.50 90.00
Space group C2/m (No. 12)
Symmetry-distinct sites (fractional):
1 Y 0.000 0.000 0.000 [2 per cell]
2 Y 0.000 0.166 0.500 [4 per cell]
3 Y 0.000 0.332 0.000 [4 per cell]
4 Sc 0.000 0.500 0.500 [2 per cell]
5 As 0.243 0.500 0.254 [4 per cell]
6 As 0.244 0.337 0.745 [8 per cell]

=====

[11]
The following is a DFT calculation (GGA-PBE) of a geometry-optimized Y2ScAs structure.

Properties
Total moment   0.000 μB per formula unit
Density of states at the Fermi level   1.26 states/eV/atom
Density   4564 kg/m3
Calculated formation energy   -301 meV per atom
Calculated volume   433.2 Å³ per cell
Total energy   -6.28 eV/atom

a b c (Å): 8.524 8.524 5.962
angles (deg): 90.00 90.00 90.00
Space group I-42d (No. 122)
Symmetry-distinct sites (fractional):
1 Y 0.196 0.250 0.125 [8 per cell]
2 Sc 0.000 0.000 0.500 [4 per cell]
3 As 0.000 0.000 0.000 [4 per cell]

=====

[12]
The following is a DFT calculation (GGA-PBE) of a geometry-optimized YScAs structure.

Properties
Total moment   0.276 μB per formula unit
Density of states at the Fermi level   0.97 states/eV/atom
Density   4793 kg/m3
Calculated formation energy   -770 meV per atom
Calculated volume   289.3 Å³ per cell
Total energy   -6.58 eV/atom

a b c (Å): 6.614 6.614 6.614
angles (deg): 90.00 90.00 90.00
Space group F-43m (No. 216)
Symmetry-distinct sites (fractional):
1 Y 0.000 0.000 0.000 [4 per cell]
2 Sc 0.000 0.000 0.500 [4 per cell]
3 As 0.250 0.250 0.250 [4 per cell]

=====

- Which of these has the lowest total energy?
  ScAsW

=====

- Which of these has the highest total moment?
  number 5

=====

- What is the total energy in the twelfth record?
  -6.58 eV/atom